## one
Compound: Th2HgIr
Source: the Alexandria database
Functional: PBE-GGA
Structure: optimized geometry

Geometry as extended XYZ:
```
4
Lattice="3.6355 0.0000 0.0000 0.0000 3.6355 0.0000 0.0000 0.0000 7.7654" Properties=species:S:1:pos:R:3 pbc="T T T"
Th 0.0000 0.0000 6.0916
Th 0.0000 0.0000 1.6738
Hg 1.8177 1.8177 3.8827
Ir 1.8177 1.8177 0.0000
```

## Properties
V: 25.7 A^3/atom
N(E_F): 0.977 states/eV/atom
magnetization: 0.0 μB/cell



## two
Compound: Th2HgIr
Source: the Alexandria database
Functional: PBE-GGA
Structure: optimized geometry

Geometry as extended XYZ:
```
4
Lattice="-2.8227 2.2958 1.9939 -0.3413 -0.2550 4.1271 4.1837 6.4359 2.8291" Properties=species:S:1:pos:R:3 pbc="T T T"
Hg 0.5125 4.2412 4.4754
Th 3.1282 5.2762 2.6701
Th -0.0016 1.8373 2.1989
Ir 2.0741 7.7962 6.9097
```

## Properties
V: 29.2 A^3/atom
N(E_F): 0.868 states/eV/atom
magnetization: 0.0 μB/cell



Relative stability in meV per atom, measured from the most stable structure: one 90; two 0



## one
Compound: Th2HgIr
Source: the Alexandria database
Functional: PBE-GGA
Structure: optimized geometry

Geometry as extended XYZ:
```
4
Lattice="4.2164 0.0000 0.0000 2.1082 3.6515 0.0001 0.0000 -0.0002 7.6186" Properties=species:S:1:pos:R:3 pbc="T T T"
Ir 0.0000 0.0000 0.0000
Th 4.2164 2.4343 1.5235
Th 2.1082 1.2170 6.0952
Hg 0.0000 -0.0001 3.8093
```

## Properties
V: 29.3 A^3/atom
N(E_F): 1.006 states/eV/atom
magnetization: 0.0 μB/cell



## two
Compound: Th2HgIr
Source: the Alexandria database
Functional: PBE-GGA
Structure: optimized geometry

Geometry as extended XYZ:
```
4
Lattice="-1.9389 -1.6793 -3.2011 3.6679 -1.4294 1.1533 -3.4978 -3.6119 6.6434" Properties=species:S:1:pos:R:3 pbc="T T T"
Hg -1.8538 -4.1999 0.6971
Th -2.8527 -4.1635 3.9119
Th 1.0838 -2.5573 0.6837
Ir 0.0000 -0.0001 0.0001
```

## Properties
V: 29.1 A^3/atom
N(E_F): 0.932 states/eV/atom
magnetization: 0.0 μB/cell



Relative stability in meV per atom, measured from the most stable structure: one 20; two 0



## one
Compound: TmThHgIr
Source: the Alexandria database
Functional: PBE-GGA
Structure: optimized geometry

Geometry as extended XYZ:
```
4
Lattice="5.1244 0.0000 0.0000 2.5622 4.4378 0.0000 2.5622 1.4793 4.1840" Properties=species:S:1:pos:R:3 pbc="T T T"
Tm 2.5622 1.4793 1.0460
Hg 5.1244 2.9586 2.0920
Ir 0.0000 0.0000 0.0000
Th 7.6866 4.4378 3.1380
```

## Properties
V: 23.8 A^3/atom
N(E_F): 1.052 states/eV/atom
magnetization: 0.0 μB/cell



## two
Compound: TmThHgIr
Source: the Alexandria database
Functional: PBE-GGA
Structure: optimized geometry

Geometry as extended XYZ:
```
4
Lattice="-1.9712 -3.5881 0.4705 3.0969 0.3058 -2.7191 5.1069 0.3598 5.8787" Properties=species:S:1:pos:R:3 pbc="T T T"
Ir 5.4975 -0.5900 3.7089
Tm 2.8619 -1.5047 3.7391
Th 3.0641 -0.0498 -2.1558
Hg 1.2227 -3.2639 1.6484
```

## Properties
V: 27.4 A^3/atom
N(E_F): 0.902 states/eV/atom
magnetization: 0.0 μB/cell



Relative stability in meV per atom, measured from the most stable structure: one 143; two 0



## one
Compound: YThHgIr
Source: the Alexandria database
Functional: PBE-GGA
Structure: optimized geometry

Geometry as extended XYZ:
```
4
Lattice="-2.0319 4.7366 -0.0667 -5.1181 0.6082 -0.0616 -2.4293 1.8212 4.1654" Properties=species:S:1:pos:R:3 pbc="T T T"
Th -4.7896 3.5830 2.0185
Hg -7.1844 5.3745 3.0278
Ir -2.3948 1.7915 1.0093
Y 0.0000 0.0000 0.0000
```

## Properties
V: 24.2 A^3/atom
N(E_F): 1.079 states/eV/atom
magnetization: 0.0 μB/cell



## two
Compound: YThHgIr
Source: the Alexandria database
Functional: PBE-GGA
Structure: optimized geometry

Geometry as extended XYZ:
```
4
Lattice="-0.5090 0.5394 -4.0639 -0.2587 -3.7857 1.6271 -6.9869 1.8620 3.2214" Properties=species:S:1:pos:R:3 pbc="T T T"
Th -0.7488 -3.4151 1.3424
Hg -3.2183 -0.2340 -2.1246
Y -4.9220 0.9434 0.3435
Ir -6.3541 -0.3019 2.4566
```

## Properties
V: 27.9 A^3/atom
N(E_F): 0.884 states/eV/atom
magnetization: 0.0 μB/cell



Relative stability in meV per atom, measured from the most stable structure: one 145; two 0